(1)
Density functional theory data (PBE) for Sc2Cr3 after structural relaxation.

abc: 10.796 10.796 10.796
angles: 15.80 15.80 15.80
Element x y z (fractional)
Sc: 0.097 0.097 0.097
Sc: 0.903 0.903 0.903
Cr: 0.310 0.310 0.310
Cr: 0.500 0.500 0.500
Cr: 0.690 0.690 0.690

Calculated values
Uncorrected energy   -7.81 eV/atom
Excess energy over the best structure of this formula in the dataset   0 meV per atom
ΔE_f   497 meV/atom
Volume   16.3 Å³ per atom
M_tot   2.27 μB per cell

---

(2)
Density functional theory data (PBE) for Li4MgPd after structural relaxation.

abc: 8.388 8.388 4.563
angles: 90.15 90.15 142.17
Element x y z (fractional)
Li: 0.033 0.450 0.250
Li: 0.181 0.266 0.245
Li: 0.266 0.181 0.745
Li: 0.450 0.033 0.750
Li: 0.550 0.967 0.250
Li: 0.734 0.819 0.255
Li: 0.819 0.734 0.755
Li: 0.967 0.550 0.750
Mg: 0.380 0.620 0.750
Mg: 0.620 0.380 0.250
Pd: 0.127 0.873 0.250
Pd: 0.873 0.127 0.750

Calculated values
Uncorrected energy   -2.64 eV/atom
Excess energy over the best structure of this formula in the dataset   0 meV per atom
ΔE_f   -231 meV/atom
Volume   16.4 Å³ per atom
M_tot   0.00 μB per cell

---

(3)
Density functional theory data (PBE) for PmPr3Y6Th2 after structural relaxation.

abc: 6.277 6.277 11.864
angles: 95.08 95.08 119.98
Element x y z (fractional)
Pm: 0.000 0.000 0.000
Pr: 0.166 0.834 0.500
Pr: 0.500 0.500 0.500
Pr: 0.834 0.166 0.500
Y: 0.082 0.420 0.244
Y: 0.257 0.257 0.755
Y: 0.420 0.082 0.244
Y: 0.580 0.918 0.756
Y: 0.743 0.743 0.245
Y: 0.918 0.580 0.756
Th: 0.333 0.667 0.000
Th: 0.667 0.333 0.000

Calculated values
Uncorrected energy   -6.04 eV/atom
ΔE_f   21 meV/atom
Volume   33.2 Å³ per atom
M_tot   0.00 μB per cell

---

Copy entry 1 word for word.
Density functional theory data (PBE) for Sc2Cr3 after structural relaxation.

abc: 10.796 10.796 10.796
angles: 15.80 15.80 15.80
Element x y z (fractional)
Sc: 0.097 0.097 0.097
Sc: 0.903 0.903 0.903
Cr: 0.310 0.310 0.310
Cr: 0.500 0.500 0.500
Cr: 0.690 0.690 0.690

Calculated values
Uncorrected energy   -7.81 eV/atom
Excess energy over the best structure of this formula in the dataset   0 meV per atom
ΔE_f   497 meV/atom
Volume   16.3 Å³ per atom
M_tot   2.27 μB per cell

---

> Which formula does entry 3 have?

PmPr3Y6Th2

---

> Which of these has the lowest volume?

Sc2Cr3

---

Repeat the third record exactly.
Density functional theory data (PBE) for PmPr3Y6Th2 after structural relaxation.

abc: 6.277 6.277 11.864
angles: 95.08 95.08 119.98
Element x y z (fractional)
Pm: 0.000 0.000 0.000
Pr: 0.166 0.834 0.500
Pr: 0.500 0.500 0.500
Pr: 0.834 0.166 0.500
Y: 0.082 0.420 0.244
Y: 0.257 0.257 0.755
Y: 0.420 0.082 0.244
Y: 0.580 0.918 0.756
Y: 0.743 0.743 0.245
Y: 0.918 0.580 0.756
Th: 0.333 0.667 0.000
Th: 0.667 0.333 0.000

Calculated values
Uncorrected energy   -6.04 eV/atom
ΔE_f   21 meV/atom
Volume   33.2 Å³ per atom
M_tot   0.00 μB per cell